A relaxed Tm2AlCu crystal. Source: Alexandria via LeMat-Bulk, functional PBE.

abc: 10.301 10.301 10.301
angles: 18.60 18.60 18.60
Element x y z (fractional)
Tm1 0.091 0.091 0.091
Tm2 0.909 0.909 0.909
Al1 0.500 0.500 0.500
Cu1 0.000 0.000 0.000

Values from the calculation:
E_form: 0.30 eV/atom
uncorrected energy: -15.57 eV per cell
SG: No. 166
M_tot: 0.00 μB/f.u.

=====

A relaxed CsK3Sb crystal. Source: Alexandria via LeMat-Bulk, functional PBE.

abc: 6.480 7.009 7.009
angles: 100.31 90.00 90.00
Element x y z (fractional)
Cs1 0.000 0.000 0.000
K1 0.000 0.430 0.430
K2 0.500 0.382 0.808
K3 0.500 0.808 0.382
Sb1 0.500 0.280 0.280

Values from the calculation:
uncorrected energy: -9.52 eV per cell
SG: No. 38
formation energy from raw total energies: -0.25 eV/atom
M_tot: 0.54 μB/f.u.

=====

A relaxed Ca2LaMo crystal. Source: Alexandria via LeMat-Bulk, functional PBE.

abc: 5.497 5.497 5.497
angles: 119.94 119.94 90.11
Element x y z (fractional)
Ca1 0.000 0.000 0.000
Ca2 0.750 0.250 0.500
La1 0.250 0.750 0.500
Mo1 0.500 0.500 0.000

Values from the calculation:
E_form: 0.62 eV/atom
uncorrected energy: -17.30 eV per cell
SG: No. 119
M_tot: 2.24 μB/f.u.

=====

A relaxed RbAcU2O8 crystal. Source: Alexandria via LeMat-Bulk, functional PBE.

abc: 6.931 6.931 6.931
angles: 107.53 107.53 113.42
Element x y z (fractional)
Rb1 0.000 0.000 0.000
Ac1 0.750 0.250 0.500
U1 0.250 0.750 0.500
U2 0.500 0.500 0.000
O1 0.057 0.398 0.341
O2 0.057 0.715 0.659
O3 0.149 0.340 0.809
O4 0.285 0.943 0.341
O5 0.531 0.340 0.191
O6 0.602 0.943 0.659
O7 0.660 0.469 0.809
O8 0.660 0.851 0.191

Values from the calculation:
uncorrected energy: -99.67 eV per cell
SG: No. 119
formation energy from raw total energies: -2.70 eV/atom
M_tot: 0.00 μB/f.u.

=====

A relaxed Co2CuHg crystal. Source: Alexandria via LeMat-Bulk, functional PBE.

abc: 8.772 8.772 8.772
angles: 18.16 18.16 18.16
Element x y z (fractional)
Co1 0.000 0.000 0.000
Co2 0.264 0.264 0.264
Cu1 0.520 0.520 0.520
Hg1 0.760 0.760 0.760

Values from the calculation:
E_form: 0.38 eV/atom
uncorrected energy: -17.09 eV per cell
SG: No. 160
M_tot: 3.51 μB/f.u.

=====

A relaxed Pu3HfH8 crystal. Source: Alexandria via LeMat-Bulk, functional PBE.

abc: 5.124 5.124 5.124
angles: 90.00 90.00 90.00
Element x y z (fractional)
Pu1 0.000 0.000 0.500
Pu2 0.000 0.500 0.000
Pu3 0.500 0.000 0.000
Hf1 0.500 0.500 0.500
H1 0.270 0.270 0.270
H2 0.270 0.270 0.730
H3 0.270 0.730 0.270
H4 0.270 0.730 0.730
H5 0.730 0.270 0.270
H6 0.730 0.270 0.730
H7 0.730 0.730 0.270
H8 0.730 0.730 0.730

Values from the calculation:
uncorrected energy: -84.58 eV per cell
SG: No. 221
M_tot: 15.98 μB/f.u.